1.
This record from Alexandria describes USbSe after structural relaxation. The functional is PBEsol.

Results
* density of states at the Fermi level: 6.7 states/eV/f.u.
* mass density: 10.35 Mg/m³
* formation energy from raw total energies: -0.718 eV/atom
* M_tot: 2.5 μB per formula unit
* crystal system: tetragonal

Cell: 4.092 4.092 8.405 Å, 90.00 90.00 90.00°
Space group P4/nmm (No. 129, origin choice 2)
Inequivalent atoms, fractional coordinates:
U1 0.250 0.250 0.202 (multiplicity 2)
Sb1 0.250 0.750 0.500 (multiplicity 2)
Se1 0.250 0.250 0.861 (multiplicity 2)



2.
This record from Alexandria describes TePtSe2 after structural relaxation. The functional is PBEsol.

Results
* density of states at the Fermi level: 1.9 states/eV/f.u.
* mass density: 9.65 Mg/m³
* formation energy from raw total energies: -0.022 eV/atom
* M_tot: 0.0 μB per formula unit
* crystal system: tetragonal

Cell: 5.522 5.522 5.423 Å, 90.00 90.00 90.00°
Space group I4/mmm (No. 139)
Inequivalent atoms, fractional coordinates:
Te1 0.000 0.000 0.000 (multiplicity 2)
Pt1 0.000 0.000 0.500 (multiplicity 2)
Se1 0.000 0.500 0.000 (multiplicity 4)



3.
This record from Alexandria describes InRe2HPt after structural relaxation. The functional is PBEsol.

Results
* density of states at the Fermi level: 5.1 states/eV/f.u.
* mass density: 17.31 Mg/m³
* M_tot: 0.0 μB per formula unit
* total energy: -0.27957 hartree per atom
* crystal system: tetragonal

Cell: 3.889 3.889 4.335 Å, 90.00 90.00 90.00°
Space group P4/mmm (No. 123)
Inequivalent atoms, fractional coordinates:
In1 0.000 0.000 0.000 (multiplicity 1)
Re1 0.000 0.500 0.500 (multiplicity 2)
H1 0.500 0.500 0.500 (multiplicity 1)
Pt1 0.500 0.500 0.000 (multiplicity 1)



4.
This record from Alexandria describes Ba5P3ClO12 after structural relaxation. The functional is PBEsol.

Results
* density of states at the Fermi level: 0.0 states/eV/f.u.
* mass density: 4.80 Mg/m³
* formation energy from raw total energies: -2.898 eV/atom
* M_tot: 0.0 μB per formula unit
* crystal system: hexagonal

Cell: 10.2647 10.2647 7.6382 Å, 90.00 90.00 120.00°
Space group P6_3/m (No. 176)
Inequivalent atoms, fractional coordinates:
Ba1 0.0144 0.7555 0.2500 (multiplicity 6)
Ba2 0.3333 0.6667 0.0007 (multiplicity 4)
P1 0.0361 0.6299 0.7500 (multiplicity 6)
Cl1 0.0000 0.0000 0.0000 (multiplicity 2)
O1 0.0880 0.7320 0.5849 (multiplicity 12)
O2 0.1175 0.5360 0.7500 (multiplicity 6)
O3 0.1373 0.4762 0.2500 (multiplicity 6)



5.
This record from Alexandria describes PrAlPd after structural relaxation. The functional is PBEsol.

Results
* density of states at the Fermi level: 1.8 states/eV/f.u.
* mass density: 7.30 Mg/m³
* M_tot: 0.0 μB per formula unit
* crystal system: hexagonal
* formation energy: -0.78 eV/atom

Cell: 7.1623 7.1623 4.2132 Å, 90.00 90.00 120.00°
Space group P-62m (No. 189)
Inequivalent atoms, fractional coordinates:
Pr1 0.0000 0.4205 0.0000 (multiplicity 3)
Al1 0.0000 0.7705 0.5000 (multiplicity 3)
Pd1 0.0000 0.0000 0.0000 (multiplicity 1)
Pd2 0.3333 0.6667 0.5000 (multiplicity 2)



6.
This record from Alexandria describes BMo2AuC after structural relaxation. The functional is PBEsol.

Results
* density of states at the Fermi level: 6.1 states/eV/f.u.
* mass density: 7.54 Mg/m³
* M_tot: 3.6 μB per formula unit
* crystal system: tetragonal
* formation energy: 3.02 eV/atom

Cell: 4.993 4.993 3.639 Å, 90.00 90.00 90.00°
Space group P4/mmm (No. 123)
Inequivalent atoms, fractional coordinates:
B1 0.000 0.000 0.000 (multiplicity 1)
Mo1 0.000 0.500 0.500 (multiplicity 2)
Au1 0.500 0.500 0.500 (multiplicity 1)
C1 0.500 0.500 0.000 (multiplicity 1)